Record 1
Compound: LiLa2InW
Source: Alexandria
Functional: PBE
Structure: optimized geometry

Output
Energy of formation from the pure elements: 1162.8 meV per atom
Space-group type: P4/mmm
Crystal system: tetragonal

Cell lengths 5.965, 4.632, 5.965 Å; angles 90.00, 90.00, 90.00 degrees
Last column: magnetic moment on the atom in μB.
Positions (direct):
In: 0.000 0.000 0.000  -0.04
Li: 0.000 0.500 0.000  -0.01
W: 0.500 0.500 0.500  2.61
La: 0.000 0.000 0.500  -0.05
La: 0.500 0.000 0.000  -0.08

***

Record 2
Compound: GaAg5Hg
Source: Alexandria
Functional: PBE
Structure: optimized geometry

Output
Energy of formation from the pure elements: 68.3 meV per atom
Space-group type: P4/mmm
ΔE to the lowest computed polymorph: 0 meV per atom
Crystal system: tetragonal

Cell lengths 4.370, 4.370, 7.059 Å; angles 90.00, 90.00, 90.00 degrees
Positions (direct):
Ga: 0.500 0.500 0.000
Ag: 0.000 0.500 0.785
Ag: 0.000 0.500 0.215
Ag: 0.500 0.000 0.785
Ag: 0.500 0.000 0.215
Ag: 0.500 0.500 0.500
Hg: 0.000 0.000 0.500

***

Record 3
Compound: CeDyTmPu
Source: Alexandria
Functional: PBE
Structure: optimized geometry

Output
Energy of formation from the pure elements: 184.1 meV per atom
Space-group type: F-43m
Crystal system: cubic

Cell lengths 5.510, 5.510, 5.510 Å; angles 60.00, 60.00, 60.00 degrees
Last column: magnetic moment on the atom in μB.
Positions (direct):
Tm: 0.750 0.750 0.750  0.38
Dy: 0.000 0.000 0.000  0.30
Ce: 0.250 0.250 0.250  1.12
Pu: 0.500 0.500 0.500  5.67

***

Record 4
Compound: Fe2TcRh
Source: Alexandria
Functional: PBE
Structure: optimized geometry

Output
Energy of formation from the pure elements: 116.6 meV per atom
Space-group type: P4/mmm
ΔE to the lowest computed polymorph: 100 meV per atom
Crystal system: tetragonal

Cell lengths 4.255, 4.255, 2.936 Å; angles 90.00, 90.00, 90.00 degrees
Last column: magnetic moment on the atom in μB.
Positions (direct):
Fe: 0.000 0.000 0.000  2.68
Fe: 0.500 0.500 0.000  2.68
Rh: 0.500 0.000 0.500  0.62
Tc: 0.000 0.500 0.500  0.19

***

Record 5
Compound: AcPd2Pt
Source: Alexandria
Functional: PBE
Structure: optimized geometry

Output
Energy of formation from the pure elements: -737.7 meV per atom
Space-group type: P4/mmm
ΔE to the lowest computed polymorph: 0 meV per atom
Crystal system: tetragonal

Cell lengths 4.284, 4.335, 4.335 Å; angles 90.00, 90.00, 90.00 degrees
Positions (direct):
Ac: 0.500 0.500 0.500
Pd: 0.000 0.000 0.500
Pd: 0.000 0.500 0.000
Pt: 0.500 0.000 0.000

***

Record 6
Compound: TaTiNb4
Source: Alexandria
Functional: PBE
Structure: optimized geometry

Output
Energy of formation from the pure elements: 2.7 meV per atom
Space-group type: P-1
ΔE to the lowest computed polymorph: 0 meV per atom
Crystal system: triclinic

Cell lengths 3.305, 5.489, 7.207 Å; angles 109.87, 102.72, 108.88 degrees
Positions (direct):
Ta: 0.998 0.497 0.002
Ti: 0.498 0.997 0.502
Nb: 0.162 0.995 0.836
Nb: 0.834 0.000 0.168
Nb: 0.661 0.492 0.336
Nb: 0.335 0.502 0.668

***

Record 7
Compound: MgZrZn4
Source: Alexandria
Functional: PBE
Structure: optimized geometry

Output
Energy of formation from the pure elements: 7.5 meV per atom
Space-group type: I-4m2
Crystal system: tetragonal

Cell lengths 3.764, 3.764, 8.310 Å; angles 103.09, 103.09, 90.00 degrees
Positions (direct):
Mg: 0.000 0.000 0.000
Zr: 0.250 0.750 0.500
Zn: 0.673 0.173 0.346
Zn: 0.577 0.577 0.154
Zn: 0.827 0.327 0.654
Zn: 0.423 0.423 0.846

***

Record 8
Compound: AlAsPd3
Source: Alexandria
Functional: PBE
Structure: optimized geometry

Output
Energy of formation from the pure elements: 136.3 meV per atom
Space-group type: Pm-3m
ΔE to the lowest computed polymorph: 397 meV per atom
Crystal system: cubic

Cell lengths 4.638, 4.638, 4.638 Å; angles 90.00, 90.00, 90.00 degrees
Positions (direct):
As: 0.000 0.000 0.000
Al: 0.500 0.500 0.500
Pd: 0.000 0.500 0.000
Pd: 0.000 0.000 0.500
Pd: 0.500 0.000 0.000

***

Record 9
Compound: CsZr2Cl8
Source: Alexandria
Functional: PBE
Structure: optimized geometry

Output
Space-group type: P-3
Raw formation energy: -166.5 kJ/mol of atoms
Crystal system: trigonal

Cell lengths 5.099, 9.783, 9.787 Å; angles 119.99, 90.02, 90.01 degrees
Last column: magnetic moment on the atom in μB.
Positions (direct):
Cs: 0.000 0.000 0.000  0.00
Zr: 0.278 0.333 0.667  0.37
Zr: 0.722 0.667 0.333  0.37
Cl: 0.221 0.667 0.333  -0.02
Cl: 0.779 0.333 0.667  -0.02
Cl: 0.719 0.807 0.190  0.00
Cl: 0.281 0.190 0.383  0.00
Cl: 0.281 0.617 0.807  0.00
Cl: 0.281 0.193 0.810  0.00
Cl: 0.719 0.810 0.617  0.00
Cl: 0.719 0.383 0.193  0.00

***

Record 10
Compound: Y2CdInSn
Source: Alexandria
Functional: PBE
Structure: optimized geometry

Output
Energy of formation from the pure elements: 299.5 meV per atom
Space-group type: P4/mmm
Crystal system: tetragonal

Cell lengths 5.634, 5.245, 5.634 Å; angles 90.00, 90.00, 90.00 degrees
Positions (direct):
Y: 0.000 0.000 0.500
Y: 0.500 0.000 0.000
Cd: 0.000 0.000 0.000
Sn: 0.000 0.500 0.000
In: 0.500 0.500 0.500

***

Record 11
Compound: Ca2AgW
Source: Alexandria
Functional: PBE
Structure: optimized geometry

Output
Energy of formation from the pure elements: 512.3 meV per atom
Space-group type: P4/mmm
ΔE to the lowest computed polymorph: 0 meV per atom
Crystal system: tetragonal

Cell lengths 3.083, 3.083, 9.449 Å; angles 90.00, 90.00, 90.06 degrees
Positions (direct):
Ca: 0.000 0.000 0.002
Ca: 0.000 0.000 0.498
Ag: 0.500 0.500 0.750
W: 0.500 0.500 0.250

***

Record 12
Compound: KFe2Ir
Source: Alexandria
Functional: PBE
Structure: optimized geometry

Output
Energy of formation from the pure elements: 528.8 meV per atom
Space-group type: Pmmm
ΔE to the lowest computed polymorph: 0 meV per atom
Crystal system: orthorhombic

Cell lengths 2.736, 3.843, 7.435 Å; angles 90.00, 90.00, 90.00 degrees
Last column: magnetic moment on the atom in μB.
Positions (direct):
Fe: 0.000 0.000 0.098  2.71
Fe: 0.000 0.000 0.402  2.71
Ir: 0.500 0.500 0.250  0.32
K: 0.500 0.500 0.750  0.00

***

> Which formula does entry 7 have?

MgZrZn4